i.
Pr2ScNi: optimized geometry, PBE-GGA.

Results
- Space group: No. 166

Structure (POSCAR):
```
Pr2ScNi
1.0
-1.824 0.977 2.952
1.047 -1.185 3.240
5.845 8.174 3.107
Ni Pr Sc
1 2 1
Direct
0.500 0.500 0.500
0.893 0.893 0.320
0.107 0.107 0.680
0.000 0.000 0.000
```

ii.
Pr2ScNi: optimized geometry, PBE-GGA.

Results
- Space group: No. 123

Structure (POSCAR):
```
Pr2ScNi
1.0
-1.275 2.469 -2.343
-0.762 -2.645 -2.374
-7.197 -0.741 3.136
Pr Sc Ni
2 1 1
Direct
0.000 0.000 0.211
0.000 0.000 0.789
0.500 0.500 0.500
0.500 0.500 0.000
```

Most stable: ii. Least stable: i.

i.
Pr2Si3Ni5: optimized geometry, PBE-GGA.

Results
- Space group: No. 72

Structure (POSCAR):
```
Pr2Si3Ni5
1.0
-0.122 -1.913 5.384
-2.871 -7.536 0.290
6.152 -5.036 1.383
Pr Si Ni
4 6 10
Direct
0.129 0.626 0.115
0.371 0.885 0.374
0.871 0.374 0.885
0.629 0.115 0.626
0.250 0.000 0.000
0.116 0.252 0.515
0.884 0.748 0.485
0.616 0.515 0.252
0.384 0.485 0.748
0.750 0.000 0.000
0.980 0.270 0.270
0.020 0.730 0.730
0.750 0.500 0.500
0.877 0.005 0.241
0.377 0.241 0.005
0.520 0.730 0.730
0.123 0.995 0.759
0.250 0.500 0.500
0.480 0.270 0.270
0.623 0.759 0.995
```

ii.
Pr2Si3Ni5: optimized geometry, PBE-GGA.

Results
- Space group: No. 36

Structure (POSCAR):
```
Pr2Si3Ni5
1.0
3.889 0.000 -0.663
0.000 6.447 0.000
0.237 0.000 13.141
Ni Si Pr
10 6 4
Direct
0.926 0.088 0.852
0.266 0.535 0.532
0.586 0.823 0.171
0.132 0.273 0.265
0.707 0.412 0.414
0.074 0.588 0.148
0.734 0.035 0.468
0.868 0.773 0.735
0.414 0.323 0.829
0.293 0.912 0.586
0.621 0.491 0.242
0.379 0.991 0.758
0.067 0.969 0.135
0.775 0.722 0.550
0.933 0.469 0.865
0.225 0.222 0.450
0.477 0.771 0.954
0.177 0.781 0.354
0.523 0.271 0.046
0.823 0.281 0.646
```

Most stable: i. Least stable: ii.

i.
Pr2SiNi: optimized geometry, PBE-GGA.

Results
- Space group: No. 166

Structure (POSCAR):
```
Pr2SiNi
1.0
3.621 0.000 0.000
1.810 3.136 0.000
1.810 1.045 9.427
Pr Si Ni
2 1 1
Direct
0.092 0.092 0.724
0.908 0.908 0.276
0.500 0.500 0.500
0.000 0.000 0.000
```

ii.
Pr2SiNi: optimized geometry, PBE-GGA.

Results
- Space group: No. 11

Structure (POSCAR):
```
Pr2SiNi
1.0
4.240 0.000 0.000
0.000 4.876 -2.379
0.000 -0.025 9.184
Pr Ni Si
4 2 2
Direct
0.250 0.815 0.087
0.250 0.788 0.564
0.750 0.185 0.913
0.750 0.212 0.436
0.750 0.607 0.786
0.250 0.393 0.214
0.250 0.415 0.730
0.750 0.585 0.270
```

Most stable: ii. Least stable: i.

i.
PrSi2Ni4: optimized geometry, PBE-GGA.

Results
- Space group: No. 136

Structure (POSCAR):
```
PrSi2Ni4
1.0
-0.410 -2.721 2.425
6.720 1.360 2.663
-2.875 4.740 4.833
Pr Ni Si
2 8 4
Direct
0.500 0.000 0.000
0.000 0.500 0.500
0.500 0.158 0.585
0.000 0.658 0.915
0.000 0.085 0.342
0.000 0.915 0.658
0.500 0.415 0.842
0.500 0.842 0.415
0.500 0.585 0.158
0.000 0.342 0.085
0.500 0.723 0.723
0.500 0.277 0.277
0.000 0.777 0.223
0.000 0.223 0.777
```

ii.
PrSi2Ni4: optimized geometry, PBE-GGA.

Results
- Space group: No. 62

Structure (POSCAR):
```
PrSi2Ni4
1.0
-0.946 -3.780 0.675
3.610 0.010 5.111
-12.978 4.885 9.157
Ni Si Pr
16 8 4
Direct
0.250 0.482 0.434
0.750 0.338 0.319
0.250 0.135 0.518
0.750 0.162 0.819
0.750 0.778 0.783
0.250 0.222 0.217
0.250 0.838 0.181
0.250 0.018 0.934
0.250 0.662 0.681
0.750 0.982 0.066
0.250 0.278 0.717
0.750 0.865 0.482
0.750 0.722 0.283
0.250 0.365 0.018
0.750 0.635 0.982
0.750 0.518 0.566
0.750 0.265 0.460
0.250 0.765 0.040
0.250 0.970 0.790
0.250 0.530 0.290
0.750 0.235 0.960
0.750 0.030 0.210
0.750 0.470 0.710
0.250 0.735 0.540
0.750 0.492 0.140
0.750 0.008 0.640
0.250 0.992 0.360
0.250 0.508 0.860
```

Most stable: i. Least stable: ii.

i.
Pr2Si3Ni2: optimized geometry, PBE-GGA.

Results
- Space group: No. 63

Structure (POSCAR):
```
Pr2Si3Ni2
1.0
-1.301 -4.045 -0.293
5.471 -2.003 3.358
-3.754 2.882 7.835
Si Pr Ni
6 4 4
Direct
0.563 0.431 0.125
0.223 0.750 0.447
0.563 0.069 0.125
0.437 0.569 0.875
0.777 0.250 0.553
0.437 0.931 0.875
0.946 0.250 0.893
0.841 0.750 0.682
0.159 0.250 0.318
0.054 0.750 0.107
0.694 0.554 0.389
0.306 0.054 0.611
0.306 0.446 0.611
0.694 0.946 0.389
```

ii.
Pr2Si3Ni2: optimized geometry, PBE-GGA.

Results
- Space group: No. 12

Structure (POSCAR):
```
Pr2Si3Ni2
1.0
-0.425 1.020 -3.710
-5.268 -1.145 2.307
3.290 6.037 1.284
Si Ni Pr
3 2 2
Direct
0.350 0.699 0.566
0.500 0.000 0.000
0.650 0.301 0.434
0.127 0.253 0.217
0.873 0.747 0.783
0.137 0.273 0.764
0.863 0.727 0.236
```

Most stable: i. Least stable: ii.

i.
PrSiNi3: optimized geometry, PBE-GGA.

Results
- Space group: No. 194

Structure (POSCAR):
```
PrSiNi3
1.0
-2.122 1.224 -5.196
-1.761 -4.705 2.786
-8.276 5.926 4.776
Si Pr Ni
4 4 12
Direct
0.333 0.667 0.639
0.667 0.333 0.139
0.333 0.667 0.861
0.667 0.333 0.361
0.000 0.000 0.500
0.667 0.333 0.750
0.333 0.667 0.250
0.000 0.000 0.000
0.500 0.500 0.500
0.000 0.500 0.000
0.139 0.861 0.750
0.278 0.139 0.250
0.722 0.861 0.750
0.500 0.000 0.000
0.139 0.278 0.750
0.000 0.500 0.500
0.500 0.000 0.500
0.861 0.722 0.250
0.861 0.139 0.250
0.500 0.500 0.000
```

ii.
PrSiNi3: optimized geometry, PBE-GGA.

Results
- Space group: No. 65

Structure (POSCAR):
```
PrSiNi3
1.0
4.378 0.000 0.000
0.000 6.212 0.000
0.000 0.000 6.182
Si Ni Pr
2 6 2
Direct
0.000 0.000 0.500
0.000 0.500 0.000
0.000 0.750 0.250
0.000 0.250 0.750
0.000 0.250 0.250
0.000 0.750 0.750
0.500 0.500 0.000
0.500 0.000 0.500
0.500 0.000 0.000
0.500 0.500 0.500
```

Most stable: i. Least stable: ii.

i.
PrSi3Ni3: optimized geometry, PBE-GGA.

Results
- Space group: No. 223

Structure (POSCAR):
```
PrSi3Ni3
1.0
6.245 0.000 0.000
0.000 6.245 0.000
0.000 0.000 6.245
Si Ni Pr
6 6 2
Direct
0.000 0.250 0.500
0.000 0.750 0.500
0.500 0.000 0.250
0.250 0.500 0.000
0.750 0.500 0.000
0.500 0.000 0.750
0.000 0.500 0.250
0.750 0.000 0.500
0.500 0.250 0.000
0.250 0.000 0.500
0.500 0.750 0.000
0.000 0.500 0.750
0.500 0.500 0.500
0.000 0.000 0.000
```

ii.
PrSi3Ni3: optimized geometry, PBE-GGA.

Results
- Space group: No. 148

Structure (POSCAR):
```
PrSi3Ni3
1.0
-0.434 -6.045 0.692
2.695 -3.729 -4.004
6.618 -3.230 2.818
Ni Si Pr
6 6 2
Direct
0.249 0.922 0.389
0.561 0.751 0.611
0.439 0.249 0.389
0.078 0.561 0.611
0.751 0.078 0.611
0.922 0.439 0.389
0.161 0.683 0.279
0.877 0.161 0.279
0.317 0.123 0.721
0.683 0.877 0.279
0.123 0.839 0.721
0.839 0.317 0.721
0.667 0.667 0.999
0.333 0.333 0.001
```

Most stable: ii. Least stable: i.

i.
PrSmNi2: optimized geometry, PBE-GGA.

Results
- Space group: No. 6

Structure (POSCAR):
```
PrSmNi2
1.0
3.612 0.000 -1.311
0.000 4.308 0.000
0.007 0.000 5.613
Pr Sm Ni
1 1 2
Direct
0.722 0.000 0.983
0.447 0.500 0.432
0.011 0.000 0.560
0.151 0.500 0.843
```

ii.
PrSmNi2: optimized geometry, PBE-GGA.

Results
- Space group: No. 123

Structure (POSCAR):
```
PrSmNi2
1.0
-0.228 -0.490 3.412
2.754 -4.095 -0.404
4.102 2.694 0.660
Sm Pr Ni
1 1 2
Direct
0.500 0.500 0.500
0.500 0.000 0.000
0.000 0.000 0.500
0.000 0.500 0.000
```

Most stable: i. Least stable: ii.

i.
Pr2Ni2Sn3: optimized geometry, PBE-GGA.

Results
- Space group: No. 63

Structure (POSCAR):
```
Pr2Ni2Sn3
1.0
4.429 0.000 -1.056
0.000 7.231 0.000
0.059 0.000 10.067
Ni Sn Pr
4 6 4
Direct
0.296 0.445 0.592
0.296 0.055 0.592
0.704 0.945 0.408
0.704 0.555 0.408
0.427 0.952 0.853
0.573 0.048 0.147
0.573 0.452 0.147
0.783 0.250 0.567
0.217 0.750 0.433
0.427 0.548 0.853
0.958 0.250 0.916
0.042 0.750 0.084
0.835 0.750 0.671
0.165 0.250 0.329
```

ii.
Pr2Ni2Sn3: optimized geometry, PBE-GGA.

Results
- Space group: No. 12

Structure (POSCAR):
```
Pr2Ni2Sn3
1.0
4.271 0.000 0.000
-2.136 5.424 -0.237
0.000 -2.794 6.943
Sn Ni Pr
3 2 2
Direct
0.500 0.000 0.000
0.374 0.748 0.551
0.626 0.252 0.449
0.856 0.712 0.765
0.144 0.288 0.235
0.148 0.296 0.793
0.852 0.704 0.207
```

Most stable: i. Least stable: ii.

i.
PrNi4Sn2: optimized geometry, PBE-GGA.

Results
- Space group: No. 140

Structure (POSCAR):
```
PrNi4Sn2
1.0
-3.879 3.879 3.957
3.879 -3.879 3.957
3.879 3.879 -3.957
Pr Ni Sn
2 8 4
Direct
0.750 0.750 0.000
0.250 0.250 0.000
0.801 0.027 0.500
0.199 0.973 0.500
0.973 0.473 0.774
0.527 0.301 0.500
0.301 0.801 0.774
0.027 0.527 0.226
0.473 0.699 0.500
0.699 0.199 0.226
0.160 0.340 0.500
0.660 0.160 0.821
0.340 0.840 0.179
0.840 0.660 0.500
```

ii.
PrNi4Sn2: optimized geometry, PBE-GGA.

Results
- Space group: No. 136

Structure (POSCAR):
```
PrNi4Sn2
1.0
-1.785 3.106 1.677
2.664 -2.253 7.008
6.459 4.292 -1.076
Ni Pr Sn
8 2 4
Direct
0.000 0.083 0.364
0.500 0.583 0.136
0.500 0.864 0.417
0.500 0.136 0.583
0.500 0.417 0.864
0.000 0.636 0.917
0.000 0.364 0.083
0.000 0.917 0.636
0.000 0.500 0.500
0.500 0.000 0.000
0.000 0.222 0.778
0.000 0.778 0.222
0.500 0.278 0.278
0.500 0.722 0.722
```

Most stable: i. Least stable: ii.